DFT (GGA+U) results for an optimized crystal structure of CrTeIF2.

Unit cell a=4.379 b=4.379 c=5.958 alpha=90.00 beta=90.00 gamma=90.00
Fractional coordinates of all 5 atoms:
Cr 0.000 0.000 0.000
Te 0.000 0.000 0.500
I 0.500 0.500 0.000
F 0.000 0.500 0.500
F 0.500 0.000 0.500

Its energy is -4.156 eV per atom. The spin magnetization comes out at 4.5 μB/f.u. As for the calculated density: 5.01 g/cm3. Its density of states at the Fermi level is 0.340 states/eV/atom. Its space group is No. 123.